1.
The following is a DFT calculation (GGA-PBE) of an optimized crystal structure of Li2CdPd.

```
4
Lattice="3.997 0.000 0.000 0.000 3.997 0.000 0.000 0.000 3.914" Properties=species:S:1:pos:R:3 pbc="T T T"
Li 1.999 0.000 1.957
Pd 0.000 0.000 0.000
Cd 1.999 1.999 0.000
Li 0.000 1.999 1.957
```

Values from the calculation:
symmetry: P4/mmm (123)
volume: 15.63 Å³/atom
DFT total energy: -11.44 eV for the cell shown
theoretical density: 6.2 g/cm3

---

2.
The following is a DFT calculation (GGA-PBE) of an optimized crystal structure of BeFeAu.

```
3
Lattice="0.000 2.725 2.725 2.725 0.000 2.725 2.725 2.725 0.000" Properties=species:S:1:pos:R:3 pbc="T T T"
Au 1.363 1.363 1.363
Be 0.000 0.000 0.000
Fe 4.088 4.088 4.088
```

Values from the calculation:
polymorph energy (0 for the lowest one): 0.0 meV/atom
symmetry: F-43m (216)
volume: 13.49 Å³/atom
total moment: 2.233 μB/f.u.
DFT total energy: -14.71 eV for the cell shown
theoretical density: 10.7 g/cm3

---

3.
The following is a DFT calculation (GGA-PBE) of an optimized crystal structure of NaNbAgTe2Se.

```
12
Lattice="1.938 -7.332 0.000 1.938 7.332 0.000 0.000 0.000 10.464" Properties=species:S:1:pos:R:3 pbc="T T T"
Se 1.938 1.107 2.616
Nb 1.938 0.000 5.232
Te 1.938 5.243 0.327
Te 1.938 -5.243 5.559
Nb 1.938 0.000 0.000
Te 1.938 -5.243 10.137
Te 1.938 5.243 4.905
Ag 1.938 -6.683 7.848
Na 1.938 3.674 7.848
Na 1.938 -3.674 2.616
Se 1.938 -1.107 7.848
Ag 1.938 6.683 2.616
```

Values from the calculation:
symmetry: Cmcm (63)
volume: 24.78 Å³/atom
total moment: 0.908 μB/f.u.
DFT total energy: -52.76 eV for the cell shown
theoretical density: 6.2 g/cm3

---

4.
The following is a DFT calculation (GGA-PBE) of an optimized crystal structure of Cu3Ag.

```
16
Lattice="-1.890 4.165 -0.480 -2.376 -1.267 5.259 7.187 2.680 2.569" Properties=species:S:1:pos:R:3 pbc="T T T"
Cu -2.182 1.339 4.562
Ag 4.724 1.457 7.756
Cu 0.634 4.872 3.504
Ag -0.863 3.193 1.762
Cu -1.873 3.836 4.099
Cu -1.229 0.573 2.365
Cu 1.704 4.299 1.182
Cu 3.668 2.388 5.522
Cu 1.503 1.349 6.310
Ag 0.295 2.238 4.117
Ag 1.457 1.707 1.629
Cu 3.906 4.894 4.940
Cu 4.753 1.689 3.273
Cu 1.616 3.924 5.684
Cu 4.940 4.251 2.639
Cu 2.717 3.320 3.361
```

Values from the calculation:
symmetry: P1 (1)
volume: 13.40 Å³/atom
DFT total energy: -54.73 eV for the cell shown
theoretical density: 9.3 g/cm3

---

5.
The following is a DFT calculation (GGA-PBE) of an optimized crystal structure of TbY2Mg3Ir2Pt.

```
9
Lattice="-1.754 -2.249 2.872 6.123 -3.985 0.618 -0.907 5.986 4.134" Properties=species:S:1:pos:R:3 pbc="T T T"
Tb 3.059 1.174 2.787
Mg 3.732 -4.125 1.901
Mg 0.412 -0.630 2.610
Mg -1.560 3.382 4.548
Ir 0.560 1.537 4.398
Y -0.375 2.475 1.709
Y 2.531 -1.647 0.255
Ir 2.902 -1.785 3.227
Pt 0.000 0.000 0.000
```

Values from the calculation:
symmetry: Amm2 (38)
volume: 20.94 Å³/atom
total moment: 0.000 μB/f.u.
DFT total energy: -52.97 eV for the cell shown
theoretical density: 8.7 g/cm3

---

6.
The following is a DFT calculation (GGA-PBE) of an optimized crystal structure of Er2Fe3Ge5.

```
20
Lattice="3.224 -7.486 0.671 -6.165 4.460 2.998 -1.859 -2.279 -7.631" Properties=species:S:1:pos:R:3 pbc="T T T"
Fe -1.704 -4.770 -1.039
Fe -3.097 -0.535 -2.923
Fe -4.967 0.814 0.951
Ge -4.351 -2.501 -3.420
Er 0.865 -5.506 0.414
Ge -4.747 0.334 -1.399
Ge -0.449 -2.803 -0.542
Fe -0.735 -0.757 0.917
Ge -1.783 -5.015 -5.565
Fe -2.206 -2.270 2.752
Ge -2.881 -0.988 -5.255
Fe 0.167 -6.119 -4.913
Er -3.441 -2.317 -0.407
Ge -1.314 -0.445 -1.420
Er -5.665 0.201 -4.376
Ge -0.053 -5.639 -2.563
Er -1.360 -2.988 -3.555
Ge -1.920 -4.316 1.293
Ge -3.018 -0.290 1.603
Ge -3.487 -4.860 -2.542
```

Values from the calculation:
symmetry: Ibam (72)
volume: 16.06 Å³/atom
total moment: 0.002 μB/f.u.
DFT total energy: -123.80 eV for the cell shown
theoretical density: 8.9 g/cm3

---

Question: Which of these has the highest theoretical density?
Answer: BeFeAu

---

Question: DFT total energy of number 1 (Li2CdPd)?
Answer: -11.44 eV for the cell shown

---

Question: Which value of DFT total energy does entry 1 give?
Answer: -11.44 eV for the cell shown